Entry 1:
{"formula": "Ac2AlTe", "functional": "PBE", "state": "relaxed", "relative_energy_mev_per_atom": 148, "e_tot_ev_per_atom": -4.519, "n_ef_per_ev_fu": 2.9, "e_form_raw_ev_per_fu": -2.97, "lattice": [[3.934, 0.000, 0.000], [0.000, 3.934, 0.000], [0.000, 0.000, 8.562]], "species": ["Ac", "Ac", "Al", "Te"], "frac_coords": [[0.000, 0.000, 0.244], [0.000, 0.000, 0.756], [0.500, 0.500, 0.000], [0.500, 0.500, 0.500]]}

Entry 2:
{"formula": "Pu2CuAs4", "functional": "PBE", "state": "relaxed", "e_tot_ev_per_atom": -7.969, "e_form_ev_per_atom": -0.632, "n_ef_per_ev_fu": 17.4, "lattice": [[3.985, 0.000, 0.000], [0.000, 3.985, 0.000], [0.000, 0.000, 9.093]], "species": ["Pu", "Pu", "Cu", "As", "As", "As", "As"], "frac_coords": [[0.000, 0.500, 0.248], [0.500, 0.000, 0.752], [0.500, 0.500, 0.000], [0.000, 0.000, 0.500], [0.000, 0.500, 0.846], [0.500, 0.000, 0.154], [0.500, 0.500, 0.500]]}

Entry 3:
{"formula": "Cs2NaBr", "functional": "PBE", "state": "relaxed", "relative_energy_mev_per_atom": 0, "e_tot_ev_per_atom": -1.996, "n_ef_per_ev_fu": 1.4, "e_form_raw_ev_per_fu": -3.28, "lattice": [[4.568, 0.000, 0.000], [0.000, 4.568, 0.000], [0.000, 0.000, 10.440]], "species": ["Cs", "Cs", "Na", "Br"], "frac_coords": [[0.000, 0.000, 0.202], [0.000, 0.000, 0.798], [0.500, 0.500, 0.500], [0.500, 0.500, 0.000]]}

Entry 4:
{"formula": "Hf2H2Pb", "functional": "PBE", "state": "relaxed", "relative_energy_mev_per_atom": 610, "e_tot_ev_per_atom": -5.682, "n_ef_per_ev_fu": 3.1, "lattice": [[7.575, 0.000, 0.000], [0.000, 7.575, 0.000], [0.000, 0.000, 3.008]], "species": ["Hf", "Hf", "Hf", "Hf", "H", "H", "H", "H", "Pb", "Pb"], "frac_coords": [[0.133, 0.367, 0.000], [0.367, 0.867, 0.000], [0.633, 0.133, 0.000], [0.867, 0.633, 0.000], [0.088, 0.588, 0.500], [0.412, 0.088, 0.500], [0.588, 0.912, 0.500], [0.912, 0.412, 0.500], [0.000, 0.000, 0.000], [0.500, 0.500, 0.000]]}

Entry 5:
{"formula": "ScP2S2", "functional": "PBE", "state": "relaxed", "relative_energy_mev_per_atom": 548, "e_tot_ev_per_atom": -4.630, "n_ef_per_ev_fu": 5.2, "e_form_raw_ev_per_fu": 2.26, "lattice": [[4.798, 0.000, 0.000], [0.000, 4.798, 0.000], [0.000, 0.000, 5.130]], "species": ["Sc", "P", "P", "S", "S"], "frac_coords": [[0.000, 0.000, 0.000], [0.000, 0.000, 0.500], [0.500, 0.500, 0.500], [0.000, 0.500, 0.000], [0.500, 0.000, 0.000]]}

Entry 6:
{"formula": "NbCuSi2", "functional": "PBE", "state": "relaxed", "e_tot_ev_per_atom": -6.103, "n_ef_per_ev_fu": 2.7, "e_form_raw_ev_per_fu": 0.60, "lattice": [[0.000, 3.079, 3.079], [3.079, 0.000, 3.079], [3.079, 3.079, 0.000]], "species": ["Nb", "Cu", "Si", "Si"], "frac_coords": [[0.000, 0.000, 0.000], [0.500, 0.500, 0.500], [0.250, 0.250, 0.250], [0.750, 0.750, 0.750]]}